(1)
{"formula": "TiFeS3", "functional": "PBE", "state": "optimized geometry", "lattice_angstrom": [[-3.983, -0.678, 2.324], [-2.248, -0.623, -4.035], [0.897, -4.569, 0.206]], "species": ["S", "S", "S", "Fe", "Ti"], "frac_coords": [[0.000, 0.500, 0.000], [0.000, 0.000, 0.500], [0.500, 0.000, 0.000], [0.500, 0.500, 0.500], [0.000, 0.000, 0.000]], "dos_at_fermi_per_ev_atom": 1.672, "magmom_total_mub_per_cell": 3.90, "energy_ev_per_atom": -5.760, "sg": "No. 221", "polymorph_energy_ev_per_atom": 0.000}


(2)
{"formula": "LiPm4Te6", "functional": "PBE", "state": "optimized geometry", "lattice_angstrom": [[8.720, -0.111, 0.039], [-0.038, 8.720, 0.039], [0.112, 0.111, 8.719]], "species": ["Li", "Li", "Pm", "Pm", "Pm", "Pm", "Pm", "Pm", "Pm", "Pm", "Te", "Te", "Te", "Te", "Te", "Te", "Te", "Te", "Te", "Te", "Te", "Te"], "frac_coords": [[0.500, 0.500, 0.500], [0.000, 0.000, 0.000], [0.358, 0.142, 0.250], [0.858, 0.250, 0.358], [0.250, 0.642, 0.142], [0.250, 0.250, 0.750], [0.750, 0.750, 0.250], [0.750, 0.358, 0.858], [0.142, 0.750, 0.642], [0.642, 0.858, 0.750], [0.682, 0.060, 0.082], [0.082, 0.318, 0.060], [0.582, 0.440, 0.182], [0.940, 0.082, 0.682], [0.560, 0.182, 0.582], [0.182, 0.418, 0.440], [0.818, 0.582, 0.560], [0.440, 0.818, 0.418], [0.060, 0.918, 0.318], [0.418, 0.560, 0.818], [0.918, 0.682, 0.940], [0.318, 0.940, 0.918]], "dos_at_fermi_per_ev_atom": 0.480, "magmom_total_mub_per_cell": 0.00, "energy_ev_per_atom": -4.930, "sg": "No. 167"}


(3)
{"formula": "FeAgMo", "functional": "PBE", "state": "optimized geometry", "lattice_angstrom": [[-4.132, 4.992, -1.651], [-5.182, 2.018, -3.713], [3.472, -4.034, 4.048]], "species": ["Ag", "Fe", "Mo"], "frac_coords": [[0.994, 0.994, 0.000], [0.330, 0.330, 0.000], [0.675, 0.675, 0.000]], "dos_at_fermi_per_ev_atom": 1.036, "magmom_total_mub_per_cell": 2.67, "energy_ev_per_atom": -6.974, "sg": "No. 107", "polymorph_energy_ev_per_atom": 0.046, "ef_ev_per_fu": 1.22}


(4)
{"formula": "Ca3Si3Bi2O12", "functional": "PBE", "state": "optimized geometry", "lattice_angstrom": [[-0.232, -1.847, -10.959], [10.555, 0.701, 3.417], [-5.054, -8.377, 5.277]], "species": ["Ca", "Ca", "Ca", "Ca", "Ca", "Ca", "Ca", "Ca", "Ca", "Ca", "Ca", "Ca", "Si", "Si", "Si", "Si", "Si", "Si", "Si", "Si", "Si", "Si", "Si", "Si", "Bi", "Bi", "Bi", "Bi", "Bi", "Bi", "Bi", "Bi", "O", "O", "O", "O", "O", "O", "O", "O", "O", "O", "O", "O", "O", "O", "O", "O", "O", "O", "O", "O", "O", "O", "O", "O", "O", "O", "O", "O", "O", "O", "O", "O", "O", "O", "O", "O", "O", "O", "O", "O", "O", "O", "O", "O", "O", "O", "O", "O"], "frac_coords": [[0.250, 0.375, 0.125], [0.750, 0.125, 0.375], [0.375, 0.125, 0.250], [0.125, 0.375, 0.750], [0.250, 0.875, 0.625], [0.125, 0.250, 0.375], [0.625, 0.250, 0.875], [0.750, 0.625, 0.875], [0.875, 0.750, 0.625], [0.875, 0.625, 0.250], [0.625, 0.875, 0.750], [0.375, 0.750, 0.125], [0.125, 0.750, 0.875], [0.875, 0.250, 0.125], [0.750, 0.375, 0.625], [0.125, 0.875, 0.250], [0.250, 0.125, 0.875], [0.375, 0.625, 0.750], [0.375, 0.250, 0.625], [0.875, 0.125, 0.750], [0.625, 0.375, 0.250], [0.750, 0.875, 0.125], [0.250, 0.625, 0.375], [0.625, 0.750, 0.375], [0.500, 0.000, 0.000], [0.500, 0.500, 0.000], [0.000, 0.500, 0.500], [0.000, 0.000, 0.500], [0.500, 0.500, 0.500], [0.000, 0.500, 0.000], [0.500, 0.000, 0.500], [0.000, 0.000, 0.000], [0.600, 0.890, 0.374], [0.374, 0.600, 0.890], [0.273, 0.289, 0.900], [0.484, 0.610, 0.211], [0.289, 0.890, 0.016], [0.126, 0.016, 0.227], [0.374, 0.273, 0.484], [0.890, 0.374, 0.600], [0.211, 0.227, 0.600], [0.484, 0.374, 0.273], [0.890, 0.016, 0.289], [0.610, 0.900, 0.126], [0.900, 0.126, 0.610], [0.273, 0.484, 0.374], [0.600, 0.211, 0.227], [0.227, 0.600, 0.211], [0.016, 0.289, 0.890], [0.900, 0.273, 0.289], [0.016, 0.227, 0.126], [0.789, 0.773, 0.400], [0.211, 0.484, 0.610], [0.610, 0.211, 0.484], [0.227, 0.126, 0.016], [0.126, 0.610, 0.900], [0.400, 0.110, 0.626], [0.626, 0.400, 0.110], [0.727, 0.711, 0.100], [0.516, 0.390, 0.789], [0.711, 0.110, 0.984], [0.874, 0.984, 0.773], [0.626, 0.727, 0.516], [0.110, 0.626, 0.400], [0.874, 0.390, 0.100], [0.773, 0.874, 0.984], [0.390, 0.789, 0.516], [0.711, 0.100, 0.727], [0.789, 0.516, 0.390], [0.984, 0.773, 0.874], [0.100, 0.727, 0.711], [0.984, 0.711, 0.110], [0.773, 0.400, 0.789], [0.400, 0.789, 0.773], [0.727, 0.516, 0.626], [0.100, 0.874, 0.390], [0.390, 0.100, 0.874], [0.110, 0.984, 0.711], [0.516, 0.626, 0.727], [0.289, 0.900, 0.273]], "dos_at_fermi_per_ev_atom": 0.000, "magmom_total_mub_per_cell": 0.00, "energy_ev_per_atom": -6.990, "sg": "No. 230"}